No. 1
Here is a crystal of W2AuCl relaxed with PBEsol from Alexandria. Energies are from meta-GGA SCAN.

Structure (POSCAR):
```
W2AuCl
1.0
6.401 0.000 0.000
0.000 6.401 0.000
0.000 0.000 6.401
W Au Cl
8 4 4
Direct
0.000 0.000 0.000
0.000 0.500 0.500
0.250 0.250 0.250
0.250 0.750 0.750
0.500 0.000 0.500
0.500 0.500 0.000
0.750 0.250 0.750
0.750 0.750 0.250
0.250 0.250 0.750
0.250 0.750 0.250
0.750 0.250 0.250
0.750 0.750 0.750
0.000 0.000 0.500
0.000 0.500 0.000
0.500 0.000 0.000
0.500 0.500 0.500
```

Summary:
The value obtained for the polymorph energy (0 for the lowest one) is 3.72 eV/f.u. Its uncorrected formation energy is 1.2925 eV per atom. The calculation puts the density at 15.2 g cm⁻³. The magnetic moment comes out at 0.0 μB per cell.

No. 2
Here is a crystal of W2AuCl relaxed with PBEsol from Alexandria. Energies are from meta-GGA SCAN.

Structure (POSCAR):
```
W2AuCl
1.0
2.777 0.000 0.000
0.000 5.092 0.000
0.000 0.000 9.144
W Au Cl
4 2 2
Direct
0.000 0.000 0.229
0.000 0.000 0.771
0.500 0.500 0.271
0.500 0.500 0.729
0.000 0.500 0.000
0.500 0.000 0.500
0.000 0.500 0.500
0.500 0.000 0.000
```

Summary:
The value obtained for the polymorph energy (0 for the lowest one) is 2.30 eV/f.u. Its uncorrected formation energy is 0.9363 eV per atom. The calculation puts the density at 15.4 g cm⁻³. The magnetic moment comes out at 0.0 μB per cell.

No. 3
Here is a crystal of W2AuCl relaxed with PBEsol from Alexandria. Energies are from meta-GGA SCAN.

Structure (POSCAR):
```
W2AuCl
1.0
2.988 0.000 0.000
0.000 2.988 0.000
0.000 0.000 6.688
W Au Cl
2 1 1
Direct
0.000 0.000 0.227
0.000 0.000 0.773
0.500 0.500 0.500
0.500 0.500 0.000
```

Summary:
The value obtained for the polymorph energy (0 for the lowest one) is 2.79 eV/f.u. Its uncorrected formation energy is 1.0582 eV per atom. The calculation puts the density at 16.7 g cm⁻³. The magnetic moment comes out at 0.0 μB per cell.

No. 4
Here is a crystal of WAu2Cl relaxed with PBEsol from Alexandria. Energies are from meta-GGA SCAN.

Structure (POSCAR):
```
WAu2Cl
1.0
8.286 0.000 0.000
0.000 2.843 0.000
-0.917 0.000 5.731
W Au Cl
2 4 2
Direct
0.000 0.000 0.000
0.500 0.500 0.000
0.009 0.500 0.449
0.261 0.000 0.714
0.509 0.000 0.449
0.761 0.500 0.714
0.237 0.500 0.156
0.737 0.000 0.156
```

Summary:
The value obtained for the polymorph energy (0 for the lowest one) is 0.92 eV/f.u. Its uncorrected formation energy is 0.5418 eV per atom. The calculation puts the density at 15.1 g cm⁻³. The magnetic moment comes out at 0.0 μB per cell.

No. 5
Here is a crystal of W2AuCl relaxed with PBEsol from Alexandria. Energies are from meta-GGA SCAN.

Structure (POSCAR):
```
W2AuCl
1.0
2.946 0.000 0.000
0.000 4.758 0.000
0.000 0.000 9.835
W Au Cl
4 2 2
Direct
0.000 0.000 0.000
0.000 0.500 0.303
0.500 0.000 0.803
0.500 0.500 0.500
0.000 0.500 0.789
0.500 0.000 0.289
0.000 0.000 0.570
0.500 0.500 0.070
```

Summary:
The value obtained for the polymorph energy (0 for the lowest one) is 1.54 eV/f.u. Its uncorrected formation energy is 0.7457 eV per atom. The calculation puts the density at 14.5 g cm⁻³. The magnetic moment comes out at 0.0 μB per cell.

No. 6
Here is a crystal of W2AuCl relaxed with PBEsol from Alexandria. Energies are from meta-GGA SCAN.

Structure (POSCAR):
```
W2AuCl
1.0
2.846 0.000 0.000
0.000 2.846 0.000
0.000 0.000 8.832
W Au Cl
2 1 1
Direct
0.000 0.000 0.000
0.500 0.500 0.219
0.000 0.000 0.442
0.500 0.500 0.815
```

Summary:
The value obtained for the polymorph energy (0 for the lowest one) is 0.26 eV/f.u. Its uncorrected formation energy is 0.4267 eV per atom. The calculation puts the density at 13.9 g cm⁻³. The magnetic moment comes out at 0.0 μB per cell.

Repeat the sixth record exactly.
Here is a crystal of W2AuCl relaxed with PBEsol from Alexandria. Energies are from meta-GGA SCAN.

Structure (POSCAR):
```
W2AuCl
1.0
2.846 0.000 0.000
0.000 2.846 0.000
0.000 0.000 8.832
W Au Cl
2 1 1
Direct
0.000 0.000 0.000
0.500 0.500 0.219
0.000 0.000 0.442
0.500 0.500 0.815
```

Summary:
The value obtained for the polymorph energy (0 for the lowest one) is 0.26 eV/f.u. Its uncorrected formation energy is 0.4267 eV per atom. The calculation puts the density at 13.9 g cm⁻³. The magnetic moment comes out at 0.0 μB per cell.